TbPm3Au3: optimized geometry, PBE.

Results
- E_form: -0.61 eV per atom
- SG: No. 12
- E_tot: -4.710 eV/atom

abc: 7.3032 7.3032 7.3439
angles: 90.96 90.96 96.67
With the nearest neighbours (Å) after each atom.
Sites, in units of the cell vectors:
Tb: 0.2550 0.2550 0.1278  4 Au 2.86-3.16
Tb: 0.7450 0.7450 0.8722  4 Au 2.86-3.16
Pm: 0.8224 0.1776 0.5000  6 Au 2.96-3.12
Pm: 0.1776 0.8224 0.5000  6 Au 2.96-3.12
Pm: 0.2567 0.7433 0.0000  6 Au 3.14-3.19
Pm: 0.7433 0.2567 0.0000  6 Au 3.14-3.19
Pm: 0.6477 0.6477 0.3681  3 Au 3.09-3.11
Pm: 0.3523 0.3523 0.6319  3 Au 3.09-3.11
Au: 0.9339 0.9339 0.1870  2 Tb 2.91-3.16, 1 Au 3.06, 5 Pm 3.06-3.19
Au: 0.5010 0.0160 0.2755  1 Tb 2.86, 5 Pm 2.96-3.19
Au: 0.9840 0.4990 0.7245  1 Tb 2.86, 5 Pm 2.96-3.19
Au: 0.4990 0.9840 0.7245  1 Tb 2.86, 5 Pm 2.96-3.19
Au: 0.0661 0.0661 0.8130  2 Tb 2.91-3.16, 1 Au 3.06, 5 Pm 3.06-3.19
Au: 0.0160 0.5010 0.2755  1 Tb 2.86, 5 Pm 2.96-3.19


HfSc2Ni: optimized geometry, PBE.

Results
- E_form: 0.04 eV per atom
- SG: No. 122
- E_tot: -7.056 eV/atom
- Energy relative to the lowest polymorph listed for this composition: 283 meV/atom

abc: 7.5915 7.5915 6.0749
angles: 51.33 51.33 90.00
With the nearest neighbours (Å) after each atom.
Sites, in units of the cell vectors:
Sc: 0.8750 0.8118 0.7500  2 Ni 2.47
Sc: 0.3750 0.4382 0.7500  2 Ni 2.47
Sc: 0.1882 0.6250 0.2500  2 Ni 2.47
Sc: 0.5618 0.1250 0.2500  2 Ni 2.47
Hf: 0.7500 0.2500 0.5000  2 Ni 2.84, 4 Sc 3.12
Hf: 0.0000 0.0000 0.0000  2 Ni 2.84, 4 Sc 3.12
Ni: 0.5000 0.5000 0.0000  4 Sc 2.47
Ni: 0.2500 0.7500 0.5000  4 Sc 2.47


LuScGe: optimized geometry, PBE.

Results
- E_form: -0.42 eV per atom
- SG: No. 107
- E_tot: -5.578 eV/atom
- Energy relative to the lowest polymorph listed for this composition: 97 meV/atom

abc: 3.5104 3.5104 6.0027
angles: 107.00 107.00 90.00
With the nearest neighbours (Å) after each atom.
Sites, in units of the cell vectors:
Ge: 0.2754 0.2754 0.5509  4 Sc 2.90, 4 Lu 3.04
Lu: 0.9364 0.9364 0.8728  4 Ge 3.04, 5 Sc 3.26-3.32
Sc: 0.6381 0.6381 0.2763  4 Ge 2.90


Ba6Sr5Ca: optimized geometry, PBE.

Results
- E_form: 0.01 eV per atom
- SG: No. 71
- E_tot: -1.817 eV/atom

abc: 6.8917 11.9274 11.9274
angles: 119.97 106.78 106.78
With the nearest neighbours (Å) after each atom.
Sites, in units of the cell vectors:
Ba: 0.2467 0.4111 0.0821  1 Ca 4.16, 7 Sr 4.20-4.24
Ba: 0.7431 0.2430 0.2430  2 Ca 4.18, 6 Sr 4.22-4.26
Ba: 0.2467 0.0821 0.4111  1 Ca 4.16, 7 Sr 4.20-4.24
Ba: 0.7533 0.5889 0.9179  1 Ca 4.16, 7 Sr 4.20-4.24
Ba: 0.2569 0.7570 0.7570  2 Ca 4.18, 6 Sr 4.22-4.26
Ba: 0.7533 0.9179 0.5889  1 Ca 4.16, 7 Sr 4.20-4.24
Sr: 0.5000 0.1689 0.8311  8 Ba 4.20-4.24
Sr: 0.5000 0.5000 0.5000  8 Ba 4.20-4.26
Sr: 0.0000 0.6664 0.3336  8 Ba 4.24-4.25
Sr: 0.5000 0.8311 0.1689  8 Ba 4.20-4.24
Sr: 0.0000 0.3336 0.6664  8 Ba 4.24-4.25
Ca: 0.0000 0.0000 0.0000  8 Ba 4.16-4.18


Li3OsN: optimized geometry, PBE.

Results
- SG: No. 221
- E_tot: -4.283 eV/atom
- Energy relative to the lowest polymorph listed for this composition: 0 meV/atom

abc: 3.8814 3.8814 3.8814
angles: 90.00 90.00 90.00
With the nearest neighbours (Å) after each atom.
Sites, in units of the cell vectors:
Li: 0.5000 0.0000 0.0000  2 N 1.94
Li: 0.0000 0.0000 0.5000  2 N 1.94
Li: 0.0000 0.5000 0.0000  2 N 1.94
Os: 0.5000 0.5000 0.5000  12 Li 2.74
N: 0.0000 0.0000 0.0000  6 Li 1.94


VGa2Hg: optimized geometry, PBE.

Results
- E_form: 0.38 eV per atom
- SG: No. 122
- E_tot: -3.493 eV/atom

abc: 7.3388 7.3388 5.9196
angles: 51.69 51.69 90.00
With the nearest neighbours (Å) after each atom.
Sites, in units of the cell vectors:
Hg: 0.0000 0.0000 0.0000  4 Ga 2.75, 2 V 2.85
Hg: 0.7500 0.2500 0.5000  4 Ga 2.75, 2 V 2.85
Ga: 0.8750 0.8635 0.7500  2 V 2.63, 2 Hg 2.75, 2 Ga 2.85
Ga: 0.3750 0.3865 0.7500  2 V 2.63, 2 Hg 2.75, 2 Ga 2.85
Ga: 0.1365 0.6250 0.2500  2 V 2.63, 2 Hg 2.75, 2 Ga 2.85
Ga: 0.6135 0.1250 0.2500  2 V 2.63, 2 Hg 2.75, 2 Ga 2.85
V: 0.2500 0.7500 0.5000  4 Ga 2.63, 2 Hg 2.85
V: 0.5000 0.5000 0.0000  4 Ga 2.63, 2 Hg 2.85


RbSc2Br: optimized geometry, PBE.

Results
- SG: No. 141
- E_tot: -3.558 eV/atom
- Energy relative to the lowest polymorph listed for this composition: 231 meV/atom

abc: 5.7452 5.7452 10.7781
angles: 74.54 74.54 90.00
With the nearest neighbours (Å) after each atom.
Sites, in units of the cell vectors:
Br: 0.2500 0.7500 0.5000  4 Sc 2.88
Br: 0.5000 0.5000 0.0000  4 Sc 2.88
Rb: 0.0000 0.0000 0.0000  4 Br 4.06, 8 Sc 4.07
Rb: 0.7500 0.2500 0.5000  4 Br 4.06, 8 Sc 4.07
Sc: 0.8750 0.6250 0.7500  2 Sc 2.87, 2 Br 2.88
Sc: 0.3750 0.1250 0.2500  2 Sc 2.87, 2 Br 2.88
Sc: 0.3750 0.6250 0.7500  2 Sc 2.87, 2 Br 2.88
Sc: 0.3750 0.6250 0.2500  2 Sc 2.87, 2 Br 2.88


CaCd2GaAu2: optimized geometry, PBE.

Results
- E_form: -0.14 eV per atom
- SG: No. 139
- E_tot: -2.377 eV/atom

abc: 5.4755 5.4755 6.7074
angles: 114.09 114.09 90.00
With the nearest neighbours (Å) after each atom.
Sites, in units of the cell vectors:
Au: 0.2262 0.2262 0.4523  1 Ga 2.48, 4 Cd 2.75
Au: 0.7738 0.7738 0.5477  1 Ga 2.48, 4 Cd 2.75
Cd: 0.2500 0.7500 0.5000  4 Au 2.75
Cd: 0.7500 0.2500 0.5000  4 Au 2.75
Ga: 0.0000 0.0000 0.0000  2 Au 2.48
Ca: 0.5000 0.5000 0.0000  2 Au 3.00


SrPt4O8: optimized geometry, PBE.

Results
- SG: No. 216
- E_tot: -5.759 eV/atom

abc: 6.5398 6.5398 6.5398
angles: 60.00 60.00 60.00
With the nearest neighbours (Å) after each atom.
Sites, in units of the cell vectors:
Pt: 0.3737 0.3737 0.8790  6 O 2.09-2.12
Pt: 0.3737 0.8790 0.3737  6 O 2.09-2.12
Pt: 0.3737 0.3737 0.3737  6 O 2.09-2.12
Pt: 0.8790 0.3737 0.3737  6 O 2.09-2.12
O: 0.6000 0.2000 0.6000  3 Pt 2.12
O: 0.1496 0.1496 0.5512  3 Pt 2.09
O: 0.1496 0.1496 0.1496  3 Pt 2.09
O: 0.6000 0.6000 0.2000  3 Pt 2.12
O: 0.2000 0.6000 0.6000  3 Pt 2.12
O: 0.1496 0.5512 0.1496  3 Pt 2.09
O: 0.5512 0.1496 0.1496  3 Pt 2.09
O: 0.6000 0.6000 0.6000  3 Pt 2.12
Sr: 0.7500 0.7500 0.7500  4 O 2.40


InAgRu: optimized geometry, PBE.

Results
- E_form: 0.35 eV per atom
- SG: No. 156
- E_tot: -4.604 eV/atom
- Energy relative to the lowest polymorph listed for this composition: 25 meV/atom

abc: 4.5749 4.5749 2.9155
angles: 90.00 90.00 120.00
With the nearest neighbours (Å) after each atom.
Sites, in units of the cell vectors:
Ag: 0.0000 0.0000 0.0581  3 In 2.73, 3 Ru 2.90, 2 Ag 2.92
Ru: 0.3333 0.6667 0.6462  3 In 2.83, 6 Ag 2.90-3.15, 2 Ru 2.92
In: 0.6667 0.3333 0.2957  3 Ag 2.73, 3 Ru 2.83, 2 In 2.92


K2Ta2Sn: optimized geometry, PBE.

Results
- E_form: 1.32 eV per atom
- SG: No. 127
- E_tot: -4.656 eV/atom
- Energy relative to the lowest polymorph listed for this composition: 530 meV/atom

abc: 10.5630 10.5630 2.9154
angles: 90.00 90.00 90.00
With the nearest neighbours (Å) after each atom.
Sites, in units of the cell vectors:
Sn: 0.5000 0.5000 0.0000  2 Sn 2.92
Sn: 0.0000 0.0000 0.0000  2 Sn 2.92
Ta: 0.4195 0.0805 0.5000  1 Ta 2.41
Ta: 0.9195 0.4195 0.5000  1 Ta 2.41
Ta: 0.0805 0.5805 0.5000  1 Ta 2.41
Ta: 0.5805 0.9195 0.5000  1 Ta 2.41
K: 0.7928 0.7072 0.0000  2 K 2.92
K: 0.7072 0.2072 0.0000  2 K 2.92
K: 0.2928 0.7928 0.0000  2 K 2.92
K: 0.2072 0.2928 0.0000  2 K 2.92


TbPr3Hg2: optimized geometry, PBE.

Results
- E_form: -0.07 eV per atom
- SG: No. 72
- E_tot: -3.336 eV/atom
- Energy relative to the lowest polymorph listed for this composition: 250 meV/atom

abc: 7.3806 7.6428 9.2002
angles: 114.54 113.65 90.00
With the nearest neighbours (Å) after each atom.
Sites, in units of the cell vectors:
Pr: 0.2276 0.4776 0.4552  4 Hg 3.17-3.21
Pr: 0.7724 0.5224 0.5448  4 Hg 3.17-3.21
Pr: 0.2276 0.9776 0.4552  4 Hg 3.17-3.21
Pr: 0.5000 0.7500 0.0000  4 Hg 3.19
Pr: 0.5000 0.2500 0.0000  4 Hg 3.19
Pr: 0.7724 0.0224 0.5448  4 Hg 3.17-3.21
Hg: 0.4328 0.6369 0.2737  1 Tb 3.00, 6 Pr 3.17-3.21
Hg: 0.1591 0.8631 0.7263  1 Tb 3.00, 6 Pr 3.17-3.21
Hg: 0.8409 0.1369 0.2737  1 Tb 3.00, 6 Pr 3.17-3.21
Hg: 0.5672 0.3631 0.7263  1 Tb 3.00, 6 Pr 3.17-3.21
Tb: 0.0000 0.0000 0.0000  2 Hg 3.00
Tb: 0.0000 0.5000 0.0000  2 Hg 3.00